This record from Alexandria describes a relaxed GePtWF2 crystal. The functional is GGA+U.

Properties
- Spin magnetization: 3.00 μB/f.u.
- Raw total energy: -5.081 eV/atom
- Density: 8.780 g cm⁻³

Cell: 4.012 5.751 4.012 Å, 90.00 90.00 90.00°
Site moments in Bohr magnetons follow the coordinates.
Element x y z (fractional)
F  0.000  0.000  0.500  0.02
F  0.500  0.000  0.000  0.08
Ge  0.000  0.500  0.000  -0.03
W  0.000  0.000  0.000  2.68
Pt  0.500  0.500  0.500  0.08